Version A
DFT (PBE+U) results for a relaxed KCrNF2 crystal.

The structure in CIF format:
```
data_KCrNF2
_symmetry_space_group_name_H-M 'P 1'
_symmetry_Int_Tables_number 1
_cell_length_a 4.735
_cell_length_b 4.735
_cell_length_c 4.918
_cell_angle_alpha 90.00
_cell_angle_beta 90.00
_cell_angle_gamma 90.00
loop_
_symmetry_equiv_pos_as_xyz
'x,y,z'
loop_
_atom_site_label
_atom_site_type_symbol
_atom_site_fract_x
_atom_site_fract_y
_atom_site_fract_z
_atom_site_occupancy
K1 K 0.000 0.000 0.000 1
Cr1 Cr 0.500 0.500 0.500 1
N1 N 0.000 0.000 0.500 1
F1 F 0.000 0.500 0.000 1
F2 F 0.500 0.000 0.000 1
```

Calculated values
M_tot (μB/f.u.): 4.0
Crystal system: tetragonal

=====

Version B
DFT (PBE+U) results for a relaxed KCrNF2 crystal.

The structure in CIF format:
```
data_KCrNF2
_symmetry_space_group_name_H-M 'P 1'
_symmetry_Int_Tables_number 1
_cell_length_a 4.306
_cell_length_b 4.306
_cell_length_c 3.781
_cell_angle_alpha 90.00
_cell_angle_beta 90.00
_cell_angle_gamma 90.00
loop_
_symmetry_equiv_pos_as_xyz
'x,y,z'
loop_
_atom_site_label
_atom_site_type_symbol
_atom_site_fract_x
_atom_site_fract_y
_atom_site_fract_z
_atom_site_occupancy
K1 K 0.000 0.000 0.000 1
Cr1 Cr 0.500 0.500 0.500 1
N1 N 0.500 0.500 0.000 1
F1 F 0.000 0.500 0.500 1
F2 F 0.500 0.000 0.500 1
```

Calculated values
M_tot (μB/f.u.): 2.0
Crystal system: tetragonal

=====

Least stable: version A

=====

Version A
DFT (PBE+U) results for a relaxed KNa2CrF6 crystal.

The structure in CIF format:
```
data_KNa2CrF6
_symmetry_space_group_name_H-M 'P 1'
_symmetry_Int_Tables_number 1
_cell_length_a 5.761
_cell_length_b 6.126
_cell_length_c 10.118
_cell_angle_alpha 90.00
_cell_angle_beta 123.85
_cell_angle_gamma 90.00
loop_
_symmetry_equiv_pos_as_xyz
'x,y,z'
loop_
_atom_site_label
_atom_site_type_symbol
_atom_site_fract_x
_atom_site_fract_y
_atom_site_fract_z
_atom_site_occupancy
K1 K 0.000 0.000 0.000 1
K2 K 0.000 0.500 0.500 1
Na1 Na 0.221 0.028 0.718 1
Na2 Na 0.221 0.472 0.218 1
Na3 Na 0.779 0.528 0.782 1
Na4 Na 0.779 0.972 0.282 1
Cr1 Cr 0.500 0.000 0.500 1
Cr2 Cr 0.500 0.500 0.000 1
F1 F 0.180 0.144 0.476 1
F2 F 0.180 0.356 0.976 1
F3 F 0.250 0.748 0.882 1
F4 F 0.250 0.752 0.382 1
F5 F 0.424 0.130 0.302 1
F6 F 0.424 0.370 0.802 1
F7 F 0.576 0.630 0.198 1
F8 F 0.576 0.870 0.698 1
F9 F 0.750 0.248 0.618 1
F10 F 0.750 0.252 0.118 1
F11 F 0.820 0.644 0.024 1
F12 F 0.820 0.856 0.524 1
```

Calculated values
M_tot (μB/f.u.): 3.0
Crystal system: monoclinic

=====

Version B
DFT (PBE+U) results for a relaxed KNa2CrF6 crystal.

The structure in CIF format:
```
data_KNa2CrF6
_symmetry_space_group_name_H-M 'P 1'
_symmetry_Int_Tables_number 1
_cell_length_a 6.201
_cell_length_b 6.201
_cell_length_c 6.201
_cell_angle_alpha 60.00
_cell_angle_beta 60.00
_cell_angle_gamma 60.00
loop_
_symmetry_equiv_pos_as_xyz
'x,y,z'
loop_
_atom_site_label
_atom_site_type_symbol
_atom_site_fract_x
_atom_site_fract_y
_atom_site_fract_z
_atom_site_occupancy
K1 K 0.000 0.000 0.000 1
Na1 Na 0.250 0.250 0.250 1
Na2 Na 0.750 0.750 0.750 1
Cr1 Cr 0.500 0.500 0.500 1
F1 F 0.279 0.279 0.721 1
F2 F 0.279 0.721 0.279 1
F3 F 0.279 0.721 0.721 1
F4 F 0.721 0.279 0.279 1
F5 F 0.721 0.279 0.721 1
F6 F 0.721 0.721 0.279 1
```

Calculated values
M_tot (μB/f.u.): 3.0
Crystal system: cubic

=====

Least stable: version B

=====

Version A
DFT (PBE+U) results for a relaxed KCrOF2 crystal.

The structure in CIF format:
```
data_KCrOF2
_symmetry_space_group_name_H-M 'P 1'
_symmetry_Int_Tables_number 1
_cell_length_a 4.644
_cell_length_b 4.644
_cell_length_c 4.669
_cell_angle_alpha 90.00
_cell_angle_beta 90.00
_cell_angle_gamma 90.00
loop_
_symmetry_equiv_pos_as_xyz
'x,y,z'
loop_
_atom_site_label
_atom_site_type_symbol
_atom_site_fract_x
_atom_site_fract_y
_atom_site_fract_z
_atom_site_occupancy
K1 K 0.000 0.000 0.000 1
Cr1 Cr 0.500 0.500 0.500 1
O1 O 0.000 0.000 0.500 1
F1 F 0.000 0.500 0.000 1
F2 F 0.500 0.000 0.000 1
```

Calculated values
M_tot (μB/f.u.): 3.0
Crystal system: tetragonal

=====

Version B
DFT (PBE+U) results for a relaxed KCrOF2 crystal.

The structure in CIF format:
```
data_KCrOF2
_symmetry_space_group_name_H-M 'P 1'
_symmetry_Int_Tables_number 1
_cell_length_a 4.093
_cell_length_b 4.093
_cell_length_c 3.879
_cell_angle_alpha 90.00
_cell_angle_beta 90.00
_cell_angle_gamma 90.00
loop_
_symmetry_equiv_pos_as_xyz
'x,y,z'
loop_
_atom_site_label
_atom_site_type_symbol
_atom_site_fract_x
_atom_site_fract_y
_atom_site_fract_z
_atom_site_occupancy
K1 K 0.000 0.000 0.000 1
Cr1 Cr 0.500 0.500 0.500 1
O1 O 0.500 0.500 0.000 1
F1 F 0.000 0.500 0.500 1
F2 F 0.500 0.000 0.500 1
```

Calculated values
M_tot (μB/f.u.): 3.0
Crystal system: tetragonal

=====

Least stable: version A

=====

Version A
DFT (PBE+U) results for a relaxed LaCrF2 crystal.

The structure in CIF format:
```
data_LaCrF2
_symmetry_space_group_name_H-M 'P 1'
_symmetry_Int_Tables_number 1
_cell_length_a 8.117
_cell_length_b 8.117
_cell_length_c 8.117
_cell_angle_alpha 141.28
_cell_angle_beta 141.28
_cell_angle_gamma 55.92
loop_
_symmetry_equiv_pos_as_xyz
'x,y,z'
loop_
_atom_site_label
_atom_site_type_symbol
_atom_site_fract_x
_atom_site_fract_y
_atom_site_fract_z
_atom_site_occupancy
La1 La 0.000 0.000 0.000 1
La2 La 0.750 0.250 0.500 1
Cr1 Cr 0.250 0.750 0.500 1
Cr2 Cr 0.500 0.500 0.000 1
F1 F 0.375 0.209 0.334 1
F2 F 0.791 0.125 0.166 1
F3 F 0.875 0.041 0.666 1
F4 F 0.959 0.625 0.834 1
```

Calculated values
M_tot (μB/f.u.): 1.0
Crystal system: tetragonal

=====

Version B
DFT (PBE+U) results for a relaxed LaCrF2 crystal.

The structure in CIF format:
```
data_LaCrF2
_symmetry_space_group_name_H-M 'P 1'
_symmetry_Int_Tables_number 1
_cell_length_a 6.235
_cell_length_b 6.235
_cell_length_c 6.235
_cell_angle_alpha 36.81
_cell_angle_beta 36.81
_cell_angle_gamma 36.81
loop_
_symmetry_equiv_pos_as_xyz
'x,y,z'
loop_
_atom_site_label
_atom_site_type_symbol
_atom_site_fract_x
_atom_site_fract_y
_atom_site_fract_z
_atom_site_occupancy
La1 La 0.000 0.000 0.000 1
Cr1 Cr 0.500 0.500 0.500 1
F1 F 0.134 0.134 0.134 1
F2 F 0.866 0.866 0.866 1
```

Calculated values
M_tot (μB/f.u.): 0.6
Crystal system: trigonal

=====

Version C
DFT (PBE+U) results for a relaxed LaCrF2 crystal.

The structure in CIF format:
```
data_LaCrF2
_symmetry_space_group_name_H-M 'P 1'
_symmetry_Int_Tables_number 1
_cell_length_a 7.810
_cell_length_b 7.810
_cell_length_c 7.810
_cell_angle_alpha 23.99
_cell_angle_beta 23.99
_cell_angle_gamma 23.99
loop_
_symmetry_equiv_pos_as_xyz
'x,y,z'
loop_
_atom_site_label
_atom_site_type_symbol
_atom_site_fract_x
_atom_site_fract_y
_atom_site_fract_z
_atom_site_occupancy
La1 La 0.000 0.000 0.000 1
Cr1 Cr 0.500 0.500 0.500 1
F1 F 0.411 0.411 0.411 1
F2 F 0.589 0.589 0.589 1
```

Calculated values
M_tot (μB/f.u.): 1.4
Crystal system: trigonal

=====

Least stable: version B

=====

Version A
DFT (PBE+U) results for a relaxed LaCrNF2 crystal.

The structure in CIF format:
```
data_LaCrNF2
_symmetry_space_group_name_H-M 'P 1'
_symmetry_Int_Tables_number 1
_cell_length_a 4.044
_cell_length_b 4.044
_cell_length_c 4.259
_cell_angle_alpha 90.00
_cell_angle_beta 90.00
_cell_angle_gamma 90.00
loop_
_symmetry_equiv_pos_as_xyz
'x,y,z'
loop_
_atom_site_label
_atom_site_type_symbol
_atom_site_fract_x
_atom_site_fract_y
_atom_site_fract_z
_atom_site_occupancy
La1 La 0.000 0.000 0.000 1
Cr1 Cr 0.500 0.500 0.500 1
N1 N 0.500 0.500 0.000 1
F1 F 0.000 0.500 0.500 1
F2 F 0.500 0.000 0.500 1
```

Calculated values
M_tot (μB/f.u.): 4.0
Crystal system: tetragonal

=====

Version B
DFT (PBE+U) results for a relaxed LaCrNF2 crystal.

The structure in CIF format:
```
data_LaCrNF2
_symmetry_space_group_name_H-M 'P 1'
_symmetry_Int_Tables_number 1
_cell_length_a 4.613
_cell_length_b 4.613
_cell_length_c 4.783
_cell_angle_alpha 90.00
_cell_angle_beta 90.00
_cell_angle_gamma 90.00
loop_
_symmetry_equiv_pos_as_xyz
'x,y,z'
loop_
_atom_site_label
_atom_site_type_symbol
_atom_site_fract_x
_atom_site_fract_y
_atom_site_fract_z
_atom_site_occupancy
La1 La 0.000 0.000 0.000 1
Cr1 Cr 0.500 0.500 0.500 1
N1 N 0.000 0.000 0.500 1
F1 F 0.000 0.500 0.000 1
F2 F 0.500 0.000 0.000 1
```

Calculated values
M_tot (μB/f.u.): 4.0
Crystal system: tetragonal

=====

Least stable: version B

=====

Version A
DFT (PBE+U) results for a relaxed LaCrN2F crystal.

The structure in CIF format:
```
data_LaCrN2F
_symmetry_space_group_name_H-M 'P 1'
_symmetry_Int_Tables_number 1
_cell_length_a 4.463
_cell_length_b 4.463
_cell_length_c 4.527
_cell_angle_alpha 90.00
_cell_angle_beta 90.00
_cell_angle_gamma 90.00
loop_
_symmetry_equiv_pos_as_xyz
'x,y,z'
loop_
_atom_site_label
_atom_site_type_symbol
_atom_site_fract_x
_atom_site_fract_y
_atom_site_fract_z
_atom_site_occupancy
La1 La 0.000 0.000 0.000 1
Cr1 Cr 0.500 0.500 0.500 1
N1 N 0.000 0.500 0.000 1
N2 N 0.500 0.000 0.000 1
F1 F 0.000 0.000 0.500 1
```

Calculated values
M_tot (μB/f.u.): 0.5
Crystal system: tetragonal

=====

Version B
DFT (PBE+U) results for a relaxed LaCrN2F crystal.

The structure in CIF format:
```
data_LaCrN2F
_symmetry_space_group_name_H-M 'P 1'
_symmetry_Int_Tables_number 1
_cell_length_a 3.992
_cell_length_b 3.992
_cell_length_c 3.920
_cell_angle_alpha 90.00
_cell_angle_beta 90.00
_cell_angle_gamma 90.00
loop_
_symmetry_equiv_pos_as_xyz
'x,y,z'
loop_
_atom_site_label
_atom_site_type_symbol
_atom_site_fract_x
_atom_site_fract_y
_atom_site_fract_z
_atom_site_occupancy
La1 La 0.000 0.000 0.000 1
Cr1 Cr 0.500 0.500 0.500 1
N1 N 0.000 0.500 0.500 1
N2 N 0.500 0.000 0.500 1
F1 F 0.500 0.500 0.000 1
```

Calculated values
M_tot (μB/f.u.): 2.0
Crystal system: tetragonal

=====

Least stable: version A

=====

Version A
DFT (PBE+U) results for a relaxed LaCrOF2 crystal.

The structure in CIF format:
```
data_LaCrOF2
_symmetry_space_group_name_H-M 'P 1'
_symmetry_Int_Tables_number 1
_cell_length_a 4.124
_cell_length_b 4.124
_cell_length_c 4.015
_cell_angle_alpha 90.00
_cell_angle_beta 90.00
_cell_angle_gamma 90.00
loop_
_symmetry_equiv_pos_as_xyz
'x,y,z'
loop_
_atom_site_label
_atom_site_type_symbol
_atom_site_fract_x
_atom_site_fract_y
_atom_site_fract_z
_atom_site_occupancy
La1 La 0.000 0.000 0.000 1
Cr1 Cr 0.500 0.500 0.500 1
O1 O 0.500 0.500 0.000 1
F1 F 0.000 0.500 0.500 1
F2 F 0.500 0.000 0.500 1
```

Calculated values
M_tot (μB/f.u.): 1.8
Crystal system: tetragonal

=====

Version B
DFT (PBE+U) results for a relaxed LaCrOF2 crystal.

The structure in CIF format:
```
data_LaCrOF2
_symmetry_space_group_name_H-M 'P 1'
_symmetry_Int_Tables_number 1
_cell_length_a 4.724
_cell_length_b 4.724
_cell_length_c 4.591
_cell_angle_alpha 90.00
_cell_angle_beta 90.00
_cell_angle_gamma 90.00
loop_
_symmetry_equiv_pos_as_xyz
'x,y,z'
loop_
_atom_site_label
_atom_site_type_symbol
_atom_site_fract_x
_atom_site_fract_y
_atom_site_fract_z
_atom_site_occupancy
La1 La 0.000 0.000 0.000 1
Cr1 Cr 0.500 0.500 0.500 1
O1 O 0.000 0.000 0.500 1
F1 F 0.000 0.500 0.000 1
F2 F 0.500 0.000 0.000 1
```

Calculated values
M_tot (μB/f.u.): 5.0
Crystal system: tetragonal

=====

Least stable: version A

=====

Version A
DFT (PBE+U) results for a relaxed Li2CrF4 crystal.

The structure in CIF format:
```
data_Li2CrF4
_symmetry_space_group_name_H-M 'P 1'
_symmetry_Int_Tables_number 1
_cell_length_a 3.456
_cell_length_b 5.097
_cell_length_c 5.517
_cell_angle_alpha 105.49
_cell_angle_beta 106.89
_cell_angle_gamma 93.68
loop_
_symmetry_equiv_pos_as_xyz
'x,y,z'
loop_
_atom_site_label
_atom_site_type_symbol
_atom_site_fract_x
_atom_site_fract_y
_atom_site_fract_z
_atom_site_occupancy
Li1 Li 0.153 0.016 0.289 1
Li2 Li 0.847 0.984 0.711 1
Cr1 Cr 0.500 0.500 0.000 1
F1 F 0.106 0.290 0.118 1
F2 F 0.352 0.158 0.680 1
F3 F 0.648 0.842 0.320 1
F4 F 0.894 0.710 0.882 1
```

Calculated values
M_tot (μB/f.u.): 4.0
Crystal system: triclinic

=====

Version B
DFT (PBE+U) results for a relaxed Li2CrF4 crystal.

The structure in CIF format:
```
data_Li2CrF4
_symmetry_space_group_name_H-M 'P 1'
_symmetry_Int_Tables_number 1
_cell_length_a 8.872
_cell_length_b 4.061
_cell_length_c 8.903
_cell_angle_alpha 90.00
_cell_angle_beta 93.06
_cell_angle_gamma 90.00
loop_
_symmetry_equiv_pos_as_xyz
'x,y,z'
loop_
_atom_site_label
_atom_site_type_symbol
_atom_site_fract_x
_atom_site_fract_y
_atom_site_fract_z
_atom_site_occupancy
Li1 Li 0.000 0.000 0.000 1
Li2 Li 0.003 0.500 0.782 1
Li3 Li 0.060 0.500 0.243 1
Li4 Li 0.280 0.000 0.250 1
Li5 Li 0.476 0.000 0.490 1
Li6 Li 0.507 0.500 0.284 1
Li7 Li 0.745 0.500 0.984 1
Li8 Li 0.775 0.000 0.709 1
Cr1 Cr 0.053 0.000 0.512 1
Cr2 Cr 0.274 0.500 0.987 1
Cr3 Cr 0.507 0.500 0.726 1
Cr4 Cr 0.768 0.000 0.259 1
F1 F 0.004 0.500 0.012 1
F2 F 0.037 0.000 0.237 1
F3 F 0.039 0.500 0.473 1
F4 F 0.239 0.500 0.766 1
F5 F 0.244 0.000 0.014 1
F6 F 0.268 0.000 0.467 1
F7 F 0.285 0.500 0.217 1
F8 F 0.507 0.000 0.277 1
F9 F 0.510 0.500 0.500 1
F10 F 0.524 0.500 0.952 1
F11 F 0.545 0.000 0.704 1
F12 F 0.740 0.500 0.239 1
F13 F 0.775 0.500 0.767 1
F14 F 0.777 0.000 0.032 1
F15 F 0.815 0.000 0.487 1
F16 F 0.990 0.000 0.766 1
```

Calculated values
M_tot (μB/f.u.): 4.0
Crystal system: monoclinic

=====

Least stable: version B